# Tm2PdPt3

A geometry-optimized Tm2PdPt3 structure (GGA-PBE, Alexandria via LeMat-Bulk).

Properties
The formation energy comes out at -0.84 eV/atom. The calculation puts the total energy at -6.22 eV/atom.

Unit cell a=9.986 b=9.850 c=7.805 alpha=67.75 beta=65.91 gamma=46.34
Element x y z (fractional)
Tm: 0.201 0.251 0.281
Tm: 0.233 0.719 0.749
Tm: 0.251 0.201 0.767
Tm: 0.281 0.767 0.201
Tm: 0.719 0.233 0.799
Tm: 0.749 0.799 0.233
Tm: 0.767 0.281 0.251
Tm: 0.799 0.749 0.719
Pd: 0.236 0.514 0.514
Pd: 0.486 0.764 0.764
Pd: 0.514 0.236 0.236
Pd: 0.764 0.486 0.486
Pt: 0.000 0.000 0.000
Pt: 0.000 0.000 0.500
Pt: 0.000 0.500 0.000
Pt: 0.111 0.111 0.639
Pt: 0.156 0.594 0.156
Pt: 0.361 0.361 0.889
Pt: 0.406 0.844 0.406
Pt: 0.500 0.000 0.000
Pt: 0.594 0.156 0.594
Pt: 0.639 0.639 0.111
Pt: 0.844 0.406 0.844
Pt: 0.889 0.889 0.361

---

# Tm8Pd5Pt

A geometry-optimized Tm8Pd5Pt structure (GGA-PBE, Alexandria via LeMat-Bulk).

Properties
The formation energy comes out at -0.85 eV/atom. The calculation puts the total energy at -5.69 eV/atom.

Unit cell a=7.487 b=7.487 c=7.487 alpha=109.55 beta=109.55 gamma=109.32
Element x y z (fractional)
Tm: 0.001 0.376 0.248
Tm: 0.121 0.247 0.752
Tm: 0.128 0.754 0.752
Tm: 0.246 0.999 0.375
Tm: 0.494 0.369 0.248
Tm: 0.624 0.872 0.625
Tm: 0.631 0.879 0.125
Tm: 0.753 0.506 0.875
Pd: 0.255 0.628 0.125
Pd: 0.372 0.497 0.627
Pd: 0.503 0.130 0.875
Pd: 0.750 0.250 0.500
Pd: 0.870 0.745 0.373
Pt: 0.000 0.000 0.000

---

# Tm3PdPt2

A geometry-optimized Tm3PdPt2 structure (GGA-PBE, Alexandria via LeMat-Bulk).

Properties
The formation energy comes out at -1.18 eV/atom. The calculation puts the total energy at -6.30 eV/atom.

Unit cell a=7.720 b=7.720 c=3.448 alpha=90.00 beta=90.00 gamma=143.10
Element x y z (fractional)
Tm: 0.000 0.000 0.000
Tm: 0.331 0.669 0.000
Tm: 0.669 0.331 0.000
Pd: 0.500 0.500 0.500
Pt: 0.164 0.836 0.500
Pt: 0.836 0.164 0.500

---

# Tm4Pd2Pt5

A geometry-optimized Tm4Pd2Pt5 structure (GGA-PBE, Alexandria via LeMat-Bulk).

Properties
The formation energy comes out at -0.62 eV/atom. The calculation puts the total energy at -5.93 eV/atom.

Unit cell a=10.265 b=9.350 c=5.858 alpha=81.41 beta=64.24 gamma=34.35
Element x y z (fractional)
Tm: 0.034 0.714 0.286
Tm: 0.286 0.966 0.034
Tm: 0.714 0.034 0.966
Tm: 0.966 0.286 0.714
Pd: 0.254 0.254 0.746
Pd: 0.746 0.746 0.254
Pt: 0.000 0.000 0.000
Pt: 0.000 0.000 0.500
Pt: 0.250 0.250 0.250
Pt: 0.500 0.500 0.000
Pt: 0.750 0.750 0.750

---

# Tm2Pd3Pt3

A geometry-optimized Tm2Pd3Pt3 structure (GGA-PBE, Alexandria via LeMat-Bulk).

Properties
The formation energy comes out at -1.00 eV/atom. The calculation puts the total energy at -6.33 eV/atom.

Unit cell a=4.072 b=4.085 c=8.228 alpha=90.00 beta=90.00 gamma=90.00
Element x y z (fractional)
Tm: 0.000 0.000 0.250
Tm: 0.000 0.000 0.750
Pd: 0.500 0.000 0.000
Pd: 0.500 0.500 0.249
Pd: 0.500 0.500 0.751
Pt: 0.000 0.500 0.000
Pt: 0.000 0.500 0.500
Pt: 0.500 0.000 0.500

---

# Tm2PdPt5

A geometry-optimized Tm2PdPt5 structure (GGA-PBE, Alexandria via LeMat-Bulk).

Properties
The formation energy comes out at -1.06 eV/atom. The calculation puts the total energy at -6.61 eV/atom.

Unit cell a=5.782 b=11.571 c=4.091 alpha=90.00 beta=90.00 gamma=90.00
Element x y z (fractional)
Tm: 0.246 0.124 0.000
Tm: 0.254 0.624 0.000
Tm: 0.746 0.376 0.000
Tm: 0.754 0.876 0.000
Pd: 0.000 0.000 0.500
Pd: 0.500 0.500 0.500
Pt: 0.000 0.500 0.500
Pt: 0.006 0.750 0.500
Pt: 0.245 0.374 0.000
Pt: 0.255 0.874 0.000
Pt: 0.494 0.250 0.500
Pt: 0.500 0.000 0.500
Pt: 0.506 0.750 0.500
Pt: 0.745 0.126 0.000
Pt: 0.755 0.626 0.000
Pt: 0.994 0.250 0.500

---

# YTmPdPt

A geometry-optimized YTmPdPt structure (GGA-PBE, Alexandria via LeMat-Bulk).

Properties
The formation energy comes out at -1.12 eV/atom. The calculation puts the total energy at -6.66 eV/atom.

Unit cell a=4.498 b=5.553 c=5.553 alpha=39.46 beta=90.00 gamma=90.00
Element x y z (fractional)
Y: 0.000 0.000 0.000
Tm: 0.500 0.276 0.276
Pd: 0.000 0.726 0.726
Pt: 0.500 0.553 0.553

---

# YTmPdPt

A geometry-optimized YTmPdPt structure (GGA-PBE, Alexandria via LeMat-Bulk).

Properties
The formation energy comes out at -1.09 eV/atom. The calculation puts the total energy at -6.63 eV/atom.

Unit cell a=4.925 b=4.925 c=4.925 alpha=60.00 beta=60.00 gamma=60.00
Element x y z (fractional)
Y: 0.000 0.000 0.000
Tm: 0.500 0.500 0.500
Pd: 0.750 0.750 0.750
Pt: 0.250 0.250 0.250

---

# TmZnPdPt

A geometry-optimized TmZnPdPt structure (GGA-PBE, Alexandria via LeMat-Bulk).

Properties
The formation energy comes out at -0.88 eV/atom. The calculation puts the total energy at -5.12 eV/atom.

Unit cell a=4.637 b=4.637 c=4.637 alpha=60.00 beta=60.00 gamma=60.00
Element x y z (fractional)
Tm: 0.000 0.000 0.000
Zn: 0.500 0.500 0.500
Pd: 0.250 0.250 0.250
Pt: 0.750 0.750 0.750

---

# U2PdPt3

A geometry-optimized U2PdPt3 structure (GGA-PBE, Alexandria via LeMat-Bulk).

Properties
The formation energy comes out at -0.57 eV/atom. The calculation puts the total energy at -8.22 eV/atom.

Unit cell a=5.511 b=5.511 c=7.731 alpha=100.76 beta=100.76 gamma=92.19
Element x y z (fractional)
U: 0.103 0.623 0.889
U: 0.377 0.897 0.611
U: 0.623 0.103 0.389
U: 0.897 0.377 0.111
Pd: 0.471 0.529 0.250
Pd: 0.529 0.471 0.750
Pt: 0.126 0.874 0.250
Pt: 0.140 0.312 0.469
Pt: 0.312 0.140 0.969
Pt: 0.688 0.860 0.031
Pt: 0.860 0.688 0.531
Pt: 0.874 0.126 0.750

---

# UPd6Pt3

A geometry-optimized UPd6Pt3 structure (GGA-PBE, Alexandria via LeMat-Bulk).

Properties
The formation energy comes out at -0.05 eV/atom. The calculation puts the total energy at -6.10 eV/atom.

Unit cell a=9.499 b=4.601 c=9.509 alpha=90.00 beta=118.58 gamma=90.00
Element x y z (fractional)
U: 0.179 0.250 0.179
U: 0.821 0.750 0.821
Pd: 0.000 0.250 0.826
Pd: 0.000 0.750 0.174
Pd: 0.170 0.750 0.996
Pd: 0.181 0.250 0.675
Pd: 0.331 0.750 0.830
Pd: 0.343 0.750 0.333
Pd: 0.486 0.750 0.663
Pd: 0.514 0.250 0.337
Pd: 0.657 0.250 0.667
Pd: 0.669 0.250 0.170
Pd: 0.819 0.750 0.325
Pd: 0.830 0.250 0.004
Pt: 0.002 0.250 0.349
Pt: 0.327 0.250 0.499
Pt: 0.346 0.250 0.009
Pt: 0.654 0.750 0.991
Pt: 0.673 0.750 0.501
Pt: 0.998 0.750 0.651

---

# UPdPt3

A geometry-optimized UPdPt3 structure (GGA-PBE, Alexandria via LeMat-Bulk).

Properties
The formation energy comes out at -0.31 eV/atom. The calculation puts the total energy at -7.23 eV/atom.

Unit cell a=7.501 b=7.501 c=5.154 alpha=90.00 beta=90.00 gamma=136.59
Element x y z (fractional)
U: 0.183 0.817 0.750
U: 0.817 0.183 0.250
Pd: 0.329 0.671 0.250
Pd: 0.671 0.329 0.750
Pt: 0.000 0.000 0.000
Pt: 0.000 0.000 0.500
Pt: 0.121 0.397 0.750
Pt: 0.397 0.121 0.250
Pt: 0.603 0.879 0.750
Pt: 0.879 0.603 0.250